1.
This record from the Alexandria database describes a geometry-optimized BaAc3B4S12 structure. The functional is PBE-GGA.

a = 8.507 Å, b = 8.507 Å, c = 8.507 Å
α = 100.77°, β = 100.77°, γ = 100.77°
Atoms (fractional coordinates):
1 Ba 0.000 0.000 0.000
2 Ac 0.523 0.477 0.000
3 Ac 0.477 0.000 0.523
4 Ac 0.000 0.523 0.477
5 B 0.972 0.028 0.500
6 B 0.028 0.500 0.972
7 B 0.500 0.972 0.028
8 B 0.500 0.500 0.500
9 S 0.500 0.362 0.638
10 S 0.889 0.500 0.111
11 S 0.111 0.889 0.500
12 S 0.500 0.111 0.889
13 S 0.364 0.981 0.169
14 S 0.169 0.364 0.981
15 S 0.981 0.169 0.364
16 S 0.636 0.831 0.019
17 S 0.019 0.636 0.831
18 S 0.831 0.019 0.636
19 S 0.638 0.500 0.362
20 S 0.362 0.638 0.500

## Properties
Its space group is No. 155. Its uncorrected formation energy is -1132 meV/atom.

2.
This record from the Alexandria database describes a geometry-optimized AcBeB4 structure. The functional is PBE-GGA.

a = 3.619 Å, b = 6.232 Å, c = 6.232 Å
α = 99.50°, β = 90.00°, γ = 90.00°
Atoms (fractional coordinates):
1 Ac 0.000 0.321 0.679
2 Ac 0.000 0.679 0.321
3 Be 0.000 0.853 0.853
4 Be 0.000 0.147 0.147
5 B 0.500 0.951 0.631
6 B 0.500 0.049 0.369
7 B 0.500 0.631 0.951
8 B 0.500 0.369 0.049
9 B 0.500 0.304 0.304
10 B 0.500 0.696 0.696
11 B 0.500 0.091 0.909
12 B 0.500 0.909 0.091

## Properties
Its formation energy is -0.07 eV/atom. Its space group is No. 65.

3.
This record from the Alexandria database describes a geometry-optimized AcBeB structure. The functional is PBE-GGA.

a = 3.652 Å, b = 6.711 Å, c = 9.229 Å
α = 90.00°, β = 90.00°, γ = 90.00°
Atoms (fractional coordinates):
1 Ac 0.751 0.731 0.817
2 Ac 0.749 0.269 0.317
3 Ac 0.251 0.769 0.183
4 Ac 0.249 0.231 0.683
5 B 0.749 0.951 0.539
6 B 0.751 0.049 0.039
7 B 0.249 0.549 0.461
8 B 0.251 0.451 0.961
9 Be 0.749 0.667 0.482
10 Be 0.751 0.333 0.982
11 Be 0.249 0.833 0.518
12 Be 0.251 0.167 0.018

## Properties
Its formation energy is 0.08 eV/atom. Its space group is No. 19.